The following is a PBE calculation of a relaxed structure of Dy2Al5Ni2Rh, from Alexandria via LeMat-Bulk.

Lattice parameters (Å, degrees): 9.176 9.176 3.998 90.00 90.00 90.00
Atoms (fractional coordinates):
Dy 0.182 0.318 0.000
Dy 0.318 0.818 0.000
Dy 0.682 0.182 0.000
Dy 0.818 0.682 0.000
Al 0.000 0.500 0.500
Al 0.059 0.796 0.500
Al 0.204 0.059 0.500
Al 0.296 0.559 0.500
Al 0.441 0.296 0.500
Al 0.500 0.000 0.500
Al 0.559 0.704 0.500
Al 0.704 0.441 0.500
Al 0.796 0.941 0.500
Al 0.941 0.204 0.500
Ni 0.112 0.612 0.000
Ni 0.388 0.112 0.000
Ni 0.612 0.888 0.000
Ni 0.888 0.388 0.000
Rh 0.000 0.000 0.000
Rh 0.500 0.500 0.000

Output
**Space group**: No. 127
**Final energy**: -105.5 eV for the cell shown
**E_form**: -0.59 eV per atom
**Magnetization**: 0.00 μB/f.u.